No. 1
Material: BeGaFeMo
Method: DFT, GGA-PBE
State: relaxed

The calculation puts the offset from the most stable computed form at 152 meV per atom.

The space group is F-43m (No. 216) and the conventional cell measures 5.8730, 5.8730 and 5.8730 Å, with angles of 90.00, 90.00 and 90.00 degrees. The distinct sites, in fractional coordinates, are Be at (0.0000, 0.0000, 0.0000), Ga at (0.0000, 0.0000, 0.5000), Fe at (0.2500, 0.2500, 0.2500) and Mo at (0.2500, 0.2500, 0.7500).


No. 2
Material: BeGaFeMo
Method: DFT, GGA-PBE
State: relaxed

The calculation puts the offset from the most stable computed form at 0 meV per atom.

The space group is F-43m (No. 216) and the conventional cell measures 5.7874, 5.7874 and 5.7874 Å, with angles of 90.00, 90.00 and 90.00 degrees. The distinct sites, in fractional coordinates, are Be at (0.0000, 0.0000, 0.0000), Ga at (0.2500, 0.2500, 0.2500), Fe at (0.0000, 0.0000, 0.5000) and Mo at (0.2500, 0.2500, 0.7500).


No. 3
Material: BeGaFeNi
Method: DFT, GGA-PBE
State: relaxed

The calculation puts the offset from the most stable computed form at 156 meV per atom.

The space group is F-43m (No. 216) and the conventional cell measures 5.6497, 5.6497 and 5.6497 Å, with angles of 90.00, 90.00 and 90.00 degrees. The distinct sites, in fractional coordinates, are Be at (0.0000, 0.0000, 0.0000), Ga at (0.2500, 0.2500, 0.2500), Fe at (0.0000, 0.0000, 0.5000) and Ni at (0.2500, 0.2500, 0.7500).


no.,total magnetic moment (μB per cell)
1,12.38
2,2.57
3,10.06